Material: CaMgP2
Method: DFT, PBE-GGA
State: relaxed

abc: 4.8108 4.8108 4.8108
angles: 60.00 60.00 60.00
With the nearest neighbours (Å) after each atom.
Positions (direct):
P  0.2500  0.2500  0.2500  4 Mg 2.95, 4 Ca 2.95
P  0.7500  0.7500  0.7500  4 Ca 2.95, 4 Mg 2.95
Mg  0.0000  0.0000  0.0000  8 P 2.95
Ca  0.5000  0.5000  0.5000  8 P 2.95

Volume: 19.7 A^3/atom
SG: Fm-3m
Calculated formation energy: -0.42 eV/atom
Energy: -16.11 eV per cell
Offset from the most stable computed form: 211.9 meV/atom

Material: CaMgP
Method: DFT, PBE-GGA
State: relaxed

abc: 4.3061 4.3061 4.2856
angles: 90.00 90.00 120.00
With the nearest neighbours (Å) after each atom.
Positions (direct):
P  0.3333  0.6667  0.5000  3 Mg 2.49
Mg  0.6667  0.3333  0.4999  3 P 2.49
Ca  0.0000  0.0000  0.0001  6 Mg 3.28, 6 P 3.28

Volume: 22.9 A^3/atom
SG: P-6m2
Calculated formation energy: -0.64 eV/atom
Energy: -10.94 eV per cell